(1)
This record from Alexandria via LeMat-Bulk describes NaH2F after structural relaxation. The functional is PBE-GGA.

a b c (Å): 3.8600 3.8600 3.8600
angles (deg): 60.00 60.00 60.00
Last column: magnetic moment on the atom in μB.
Positions (direct):
Na 0.5000 0.5000 0.5000  0.02
H 0.2500 0.2500 0.2500  0.35
H 0.7500 0.7500 0.7500  0.35
F 0.0000 0.0000 0.0000  0.32

ΔE to the lowest computed polymorph = 1295 meV per atom
Spin magnetization = 1.918 μB per cell
Space group = Fm-3m

---

(2)
This record from Alexandria via LeMat-Bulk describes CdSn2Pd2 after structural relaxation. The functional is PBE-GGA.

a b c (Å): 4.3229 4.3229 6.7527
angles (deg): 71.33 71.33 90.00
Positions (direct):
Sn 0.7500 0.2500 0.5000
Sn 0.2500 0.7500 0.5000
Pd 0.3884 0.3884 0.2232
Pd 0.6116 0.6116 0.7768
Cd 0.0000 0.0000 0.0000

ΔE to the lowest computed polymorph = 295 meV per atom
Spin magnetization = 0.000 μB per cell
Space group = I4/mmm
Energy relative to the elements = -2.80 kcal/mol of atoms

---

(3)
This record from Alexandria via LeMat-Bulk describes CuHgAu2O6 after structural relaxation. The functional is PBE-GGA.

a b c (Å): 6.5149 7.0909 7.0909
angles (deg): 63.17 73.56 73.56
Last column: magnetic moment on the atom in μB.
Positions (direct):
Cu 0.2500 0.3065 0.6935  0.41
Cu 0.7500 0.6935 0.3065  0.41
Hg 0.2500 0.8601 0.1399  -0.01
Hg 0.7500 0.1399 0.8601  -0.01
Au 0.2769 0.8672 0.6129  0.02
Au 0.2231 0.3871 0.1328  0.02
Au 0.7231 0.1328 0.3871  0.02
Au 0.7769 0.6129 0.8672  0.02
O 0.1643 0.0036 0.8219  0.08
O 0.3357 0.1781 0.9964  0.08
O 0.8357 0.9964 0.1781  0.08
O 0.6643 0.8219 0.0036  0.08
O 0.4252 0.7345 0.3989  0.06
O 0.0748 0.6011 0.2655  0.06
O 0.5748 0.2655 0.6011  0.06
O 0.9252 0.3989 0.7345  0.06
O 0.2095 0.5689 0.8101  0.06
O 0.2905 0.1899 0.4311  0.06
O 0.7905 0.4311 0.1899  0.06
O 0.7095 0.8101 0.5689  0.06

Spin magnetization = 1.828 μB per cell
Formation energy (no corrections) = -0.007 eV/atom
Space group = C2/c

---

(4)
This record from Alexandria via LeMat-Bulk describes AgP3 after structural relaxation. The functional is PBE-GGA.

a b c (Å): 4.9650 5.2279 6.0632
angles (deg): 90.00 90.00 90.00
Positions (direct):
Ag 0.0000 0.0000 0.4131
Ag 0.5000 0.5000 0.5869
P 0.5000 0.0000 0.3327
P 0.0000 0.5000 0.6673
P 0.0000 0.7105 0.9898
P 0.0000 0.2895 0.9898
P 0.5000 0.2105 0.0102
P 0.5000 0.7895 0.0102

ΔE to the lowest computed polymorph = 0 meV per atom
Spin magnetization = 0.000 μB per cell
Space group = Pmmn
Energy relative to the elements = 4.24 kcal/mol of atoms

---

(5)
This record from Alexandria via LeMat-Bulk describes TbPmPb2 after structural relaxation. The functional is PBE-GGA.

a b c (Å): 4.8211 4.8211 7.3041
angles (deg): 70.73 70.73 60.00
Positions (direct):
Tb 0.4937 0.4937 0.5189
Pm 0.6713 0.6713 0.9860
Pb 0.0872 0.0872 0.7384
Pb 0.2478 0.2478 0.2567

Spin magnetization = 0.000 μB per cell
Space group = R3m
Energy relative to the elements = -8.06 kcal/mol of atoms

---

(6)
This record from Alexandria via LeMat-Bulk describes Ac2Cd3In4Au after structural relaxation. The functional is PBE-GGA.

a b c (Å): 4.8119 4.8119 11.8082
angles (deg): 90.00 90.00 90.00
Positions (direct):
Ac 0.5000 0.0000 0.2614
Ac 0.0000 0.5000 0.7386
Cd 0.0000 0.0000 0.5000
Cd 0.5000 0.0000 0.8595
Cd 0.0000 0.5000 0.1405
In 0.5000 0.5000 0.0000
In 0.0000 0.0000 0.0000
In 0.5000 0.0000 0.6262
In 0.0000 0.5000 0.3738
Au 0.5000 0.5000 0.5000

Spin magnetization = 0.000 μB per cell
Space group = P-4m2
Energy relative to the elements = -8.62 kcal/mol of atoms